No. 1
This record from the Alexandria database describes a relaxed structure of Ta2SeCl. The functional is PBE.

a b c (Å): 2.9929 5.7589 8.6579
angles (deg): 90.00 90.00 90.00
With the nearest neighbours (Å) after each atom.
Space group Cmmm (No. 65)
One atom of each set of equivalent atoms:
Ta 0.0000 0.0000 0.2431 x4  2 Se 2.58, 2 Cl 2.68
Se 0.0000 0.5000 0.0000 x2  4 Ta 2.58
Cl 0.0000 0.5000 0.5000 x2  4 Ta 2.68, 2 Cl 2.99

Results
Offset from the most stable computed form ... 0.796 eV/atom
Formation energy from raw total energies ... 0.22 eV per atom
DOS(E_F) ... 2.617 states/eV/f.u.



No. 2
This record from the Alexandria database describes a relaxed structure of TaSe2Cl. The functional is PBE.

a b c (Å): 4.9956 14.3043 3.3263
angles (deg): 90.00 90.00 90.00
With the nearest neighbours (Å) after each atom.
Space group Cmmm (No. 65)
One atom of each set of equivalent atoms:
Ta 0.0000 0.0000 0.0000 x2  2 Cl 2.50, 4 Se 2.54
Se 0.0000 0.1343 0.5000 x4  2 Ta 2.54
Cl 0.0000 0.5000 0.0000 x2  2 Ta 2.50

Results
Offset from the most stable computed form ... 0.083 eV/atom
Formation energy from raw total energies ... -0.72 eV per atom
DOS(E_F) ... 0.819 states/eV/f.u.



No. 3
This record from the Alexandria database describes a relaxed structure of TaSeCl2. The functional is PBE.

a b c (Å): 5.6815 8.8857 2.9899
angles (deg): 90.00 90.00 90.00
With the nearest neighbours (Å) after each atom.
Space group Cmmm (No. 65)
One atom of each set of equivalent atoms:
Ta 0.0000 0.0000 0.0000 x2  2 Se 2.84, 2 Ta 2.99, 8 Cl 3.03
Se 0.0000 0.5000 0.0000 x2  2 Ta 2.84, 2 Se 2.99, 8 Cl 3.03
Cl 0.2500 0.2500 0.5000 x4  4 Cl 2.84-2.99, 4 Ta 3.03, 4 Se 3.03

Results
Offset from the most stable computed form ... 1.504 eV/atom
Formation energy from raw total energies ... 0.55 eV per atom
DOS(E_F) ... 4.333 states/eV/f.u.